Entry 1:
TbThGaIr, optimized geometry, DFT PBE-GGA; DFT total energy = -6.554 eV/atom; formation energy = -0.57 eV/atom; volume = 23.14 Å³/atom; distance to the lowest polymorph of the same formula = 0.234 eV/atom
1.0
0.000 3.590 3.590
3.590 0.000 3.590
3.590 3.590 0.000
Tb Th Ga Ir
1 1 1 1
Cartesian
0.000 0.000 0.000
3.590 3.590 3.590
1.795 1.795 1.795
5.386 5.386 5.386



Entry 2:
TbThGaIr, optimized geometry, DFT PBE-GGA; DFT total energy = -6.789 eV/atom; formation energy = -0.80 eV/atom; volume = 23.84 Å³/atom; distance to the lowest polymorph of the same formula = 0.000 eV/atom
1.0
3.992 0.000 0.000
0.000 2.092 5.711
0.000 -2.092 5.711
Tb Th Ga Ir
1 1 1 1
Cartesian
0.000 0.000 0.000
1.996 0.000 3.169
1.996 0.000 6.515
0.000 0.000 8.431



Entry 3:
TbTiGaIr2, optimized geometry, DFT PBE-GGA; DFT total energy = -7.461 eV/atom; formation energy = -0.81 eV/atom; volume = 18.71 Å³/atom
1.0
-1.999 1.999 5.852
1.999 -1.999 5.852
1.999 1.999 -5.852
Tb Ti Ga Ir
1 1 1 2
Cartesian
0.000 0.000 0.000
1.999 0.000 2.926
0.000 1.999 2.926
0.000 0.000 4.541
0.000 0.000 7.163



Entry 4:
TbTmGaIr, optimized geometry, DFT PBE-GGA; DFT total energy = -6.003 eV/atom; formation energy = -0.76 eV/atom; volume = 22.29 Å³/atom; distance to the lowest polymorph of the same formula = 0.000 eV/atom
1.0
4.254 0.000 0.000
0.000 1.970 5.318
0.000 -1.970 5.318
Tb Tm Ga Ir
1 1 1 1
Cartesian
0.000 0.000 0.000
2.127 0.000 7.620
2.127 0.000 4.519
0.000 0.000 2.973



Entry 5:
TbTmGaIr, optimized geometry, DFT PBE-GGA; DFT total energy = -5.944 eV/atom; formation energy = -0.70 eV/atom; volume = 21.23 Å³/atom; distance to the lowest polymorph of the same formula = 0.059 eV/atom
1.0
0.000 3.489 3.489
3.489 0.000 3.489
3.489 3.489 0.000
Tb Tm Ga Ir
1 1 1 1
Cartesian
0.000 0.000 0.000
3.489 3.489 3.489
1.744 1.744 1.744
5.233 5.233 5.233



Entry 6:
TbZnGaIr, optimized geometry, DFT PBE-GGA; DFT total energy = -4.940 eV/atom; formation energy = -0.49 eV/atom; volume = 17.21 Å³/atom
1.0
0.000 3.253 3.253
3.253 0.000 3.253
3.253 3.253 0.000
Tb Zn Ga Ir
1 1 1 1
Cartesian
0.000 0.000 0.000
4.880 4.880 4.880
1.627 1.627 1.627
3.253 3.253 3.253